VASP calculation (meta-GGA SCAN) on a crystal of ZrBe2 relaxed with PBEsol.

a = 3.204 Å, b = 3.795 Å, c = 3.795 Å
α = 120.00°, β = 90.00°, γ = 90.00°
Atoms (fractional coordinates):
Zr (0.000, 0.000, 0.000)
Be (0.500, 0.333, 0.667)
Be (0.500, 0.667, 0.333)

Results
ΔH_f (0 K) ... -0.59 eV per formula unit